Version P
First-principles (PBE) data for an optimized crystal structure of SnBC2, as listed in Alexandria.

The space group is I-42d (122).

a = 4.499 Å, b = 4.499 Å, c = 5.355 Å
α = 65.16°, β = 65.16°, γ = 90.00°
Sites, in units of the cell vectors:
C 0.219 0.625 0.250
C 0.875 0.781 0.750
C 0.375 0.469 0.750
C 0.531 0.125 0.250
Sn 0.000 0.000 0.000
Sn 0.750 0.250 0.500
B 0.250 0.750 0.500
B 0.500 0.500 0.000


Version Q
First-principles (PBE) data for an optimized crystal structure of SnBC2, as listed in Alexandria.

The space group is Fm-3m (225).

a = 3.952 Å, b = 3.952 Å, c = 3.952 Å
α = 60.00°, β = 60.00°, γ = 60.00°
Sites, in units of the cell vectors:
C 0.750 0.750 0.750
C 0.250 0.250 0.250
Sn 0.500 0.500 0.500
B 0.000 0.000 0.000


Top of the stability list: version P, leading by 1912 meV/atom.


Version P
First-principles (PBE) data for an optimized crystal structure of SrBC, as listed in Alexandria.

The space group is P2_13 (198).

a = 5.318 Å, b = 5.318 Å, c = 5.318 Å
α = 90.00°, β = 90.00°, γ = 90.00°
Sites, in units of the cell vectors:
B 0.350 0.650 0.150
B 0.150 0.350 0.650
B 0.850 0.850 0.850
B 0.650 0.150 0.350
Sr 0.864 0.636 0.364
Sr 0.364 0.864 0.636
Sr 0.136 0.136 0.136
Sr 0.636 0.364 0.864
C 0.592 0.908 0.092
C 0.408 0.408 0.408
C 0.092 0.592 0.908
C 0.908 0.092 0.592


Version Q
First-principles (PBE) data for an optimized crystal structure of SrBC, as listed in Alexandria.

The space group is P6_3/mmc (194).

a = 3.029 Å, b = 3.029 Å, c = 8.992 Å
α = 90.00°, β = 90.00°, γ = 120.00°
Sites, in units of the cell vectors:
Sr 0.000 0.000 0.000
Sr 0.000 0.000 0.500
C 0.667 0.333 0.750
C 0.333 0.667 0.250
B 0.667 0.333 0.250
B 0.333 0.667 0.750


Top of the stability list: version Q, leading by 453 meV/atom.


Version P
First-principles (PBE) data for an optimized crystal structure of SrB3C, as listed in Alexandria.

The space group is Pm-3m (221).

a = 3.874 Å, b = 3.874 Å, c = 3.874 Å
α = 90.00°, β = 90.00°, γ = 90.00°
Sites, in units of the cell vectors:
B 0.000 0.500 0.000
B 0.000 0.000 0.500
B 0.500 0.000 0.000
C 0.000 0.000 0.000
Sr 0.500 0.500 0.500


Version Q
First-principles (PBE) data for an optimized crystal structure of SrB3C, as listed in Alexandria.

The space group is Pm-3m (221).

a = 4.946 Å, b = 4.946 Å, c = 4.946 Å
α = 90.00°, β = 90.00°, γ = 90.00°
Sites, in units of the cell vectors:
Sr 0.000 0.000 0.000
B 0.500 0.000 0.000
B 0.000 0.500 0.000
B 0.000 0.000 0.500
C 0.500 0.500 0.500


Top of the stability list: version P, leading by 2251 meV/atom.